Entry 1:
Entry from Alexandria: CePm3Tm3S8 after structural relaxation (PBE-GGA).

Computed properties:
Theoretical density (g cm⁻³): 6.4
Space-group type: R-3m (166)
Total magnetic moment (μB/f.u.): 1.54
Energy relative to the elements, uncorrected (eV/atom): -2.01

Cell: 7.900 7.900 7.900 Å, 59.71 59.71 59.71°
Fractional coordinates of all 15 atoms:
Ce 0.000 0.000 0.000
Pm 0.000 0.000 0.500
Pm 0.000 0.500 0.000
Pm 0.500 0.000 0.000
Tm 0.000 0.500 0.500
Tm 0.500 0.000 0.500
Tm 0.500 0.500 0.000
S 0.255 0.255 0.733
S 0.255 0.733 0.255
S 0.256 0.256 0.256
S 0.267 0.745 0.745
S 0.733 0.255 0.255
S 0.744 0.744 0.744
S 0.745 0.267 0.745
S 0.745 0.745 0.267


Entry 2:
Entry from Alexandria: Dy2SiO6 after structural relaxation (PBE-GGA).

Computed properties:
Theoretical density (g cm⁻³): 6.5
Space-group type: P4_2/mnm (136)
Total magnetic moment (μB/f.u.): 2.03
Energy relative to the elements, uncorrected (eV/atom): -2.62

Cell: 4.866 4.866 9.734 Å, 90.00 90.00 90.00°
Fractional coordinates of all 18 atoms:
Dy 0.000 0.000 0.170
Dy 0.000 0.000 0.830
Dy 0.500 0.500 0.330
Dy 0.500 0.500 0.670
Si 0.000 0.000 0.500
Si 0.500 0.500 0.000
O 0.179 0.179 0.365
O 0.179 0.179 0.635
O 0.242 0.242 0.000
O 0.258 0.742 0.500
O 0.321 0.679 0.135
O 0.321 0.679 0.865
O 0.679 0.321 0.135
O 0.679 0.321 0.865
O 0.742 0.258 0.500
O 0.758 0.758 0.000
O 0.821 0.821 0.365
O 0.821 0.821 0.635


Entry 3:
Entry from Alexandria: TaTiRh4 after structural relaxation (PBE-GGA).

Computed properties:
E above lowest polymorph (eV/f.u.): 0.370
Theoretical density (g cm⁻³): 11.7
Space-group type: C2/m (12)
Formation energy (meV/atom): -409
Total magnetic moment (μB/f.u.): 0.00

Cell: 5.148 5.148 5.572 Å, 122.53 122.53 50.10°
Fractional coordinates of all 6 atoms:
Ta 0.000 0.000 0.000
Ti 0.000 0.000 0.500
Rh 0.329 0.329 0.959
Rh 0.337 0.337 0.469
Rh 0.663 0.663 0.531
Rh 0.671 0.671 0.041


Entry 4:
Entry from Alexandria: Y5Sb after structural relaxation (PBE-GGA).

Computed properties:
E above lowest polymorph (eV/f.u.): 0.005
Theoretical density (g cm⁻³): 5.1
Space-group type: Cm (8)
Total magnetic moment (μB/f.u.): 0.00
Energy relative to the elements, uncorrected (eV/atom): -0.31

Cell: 6.469 6.469 7.946 Å, 105.88 105.88 35.02°
Fractional coordinates of all 6 atoms:
Y 0.000 0.000 0.000
Y 0.007 0.007 0.590
Y 0.298 0.298 0.704
Y 0.339 0.339 0.231
Y 0.633 0.633 0.340
Sb 0.683 0.683 0.924


Entry 5:
Entry from Alexandria: SnP2W after structural relaxation (PBE-GGA).

Computed properties:
Theoretical density (g cm⁻³): 6.2
Space-group type: I-42d (122)
Formation energy (meV/atom): 302
Total magnetic moment (μB/f.u.): 0.00

Cell: 7.186 7.186 7.186 Å, 133.12 133.12 68.46°
Fractional coordinates of all 8 atoms:
Sn 0.000 0.000 0.000
Sn 0.750 0.250 0.500
P 0.186 0.625 0.061
P 0.375 0.436 0.561
P 0.564 0.125 0.939
P 0.875 0.814 0.439
W 0.250 0.750 0.500
W 0.500 0.500 0.000


Entry 6:
Entry from Alexandria: TbCeYHo after structural relaxation (PBE-GGA).

Computed properties:
Theoretical density (g cm⁻³): 7.1
Space-group type: F-43m (216)
Formation energy (meV/atom): 182
Total magnetic moment (μB/f.u.): 1.71

Cell: 5.668 5.668 5.668 Å, 60.00 60.00 60.00°
Fractional coordinates of all 4 atoms:
Tb 0.000 0.000 0.000
Ce 0.250 0.250 0.250
Y 0.500 0.500 0.500
Ho 0.750 0.750 0.750


Entry 7:
Entry from Alexandria: BaNpTeO6 after structural relaxation (PBE-GGA).

Computed properties:
Theoretical density (g cm⁻³): 5.9
Space-group type: P1 (1)
Total magnetic moment (μB/f.u.): 1.00
Energy relative to the elements, uncorrected (eV/atom): -2.29

Cell: 5.563 5.888 5.912 Å, 60.82 89.56 89.13°
Fractional coordinates of all 9 atoms:
Ba 0.000 0.000 0.000
Np 0.496 0.328 0.323
Te 0.490 0.664 0.627
O 0.282 0.572 0.058
O 0.290 0.966 0.390
O 0.296 0.387 0.624
O 0.685 0.655 0.353
O 0.698 0.335 0.040
O 0.701 0.074 0.590


Entry 8:
Entry from Alexandria: HfMgSe2Br after structural relaxation (PBE-GGA).

Computed properties:
E above lowest polymorph (eV/f.u.): 0.000
Theoretical density (g cm⁻³): 5.1
Space-group type: P4/mmm (123)
Total magnetic moment (μB/f.u.): 0.34
Energy relative to the elements, uncorrected (eV/atom): -0.66

Cell: 5.206 5.206 5.243 Å, 90.00 90.00 90.00°
Fractional coordinates of all 5 atoms:
Hf 0.000 0.000 0.000
Mg 0.500 0.500 0.500
Se 0.000 0.500 0.000
Se 0.500 0.000 0.000
Br 0.000 0.000 0.500


> Which of these has the highest theoretical density?

TaTiRh4


> Which formula does entry 5 have?

SnP2W